1.
The following is a DFT calculation (PBE) of a relaxed structure of LiInAg2.

## Properties
VASP energy = -2.7562 eV per atom
space group = P6_3/mmc

Lattice parameters (Å, degrees): 4.568 4.568 8.496 90.00 90.00 120.00
Sites, in units of the cell vectors:
Li1 0.000 0.000 0.000
Li2 0.000 0.000 0.500
In1 0.333 0.667 0.250
In2 0.667 0.333 0.750
Ag1 0.333 0.667 0.585
Ag2 0.333 0.667 0.915
Ag3 0.667 0.333 0.085
Ag4 0.667 0.333 0.415


2.
The following is a DFT calculation (PBE) of a relaxed structure of BeOsPd.

## Properties
space group = F-43m
energy relative to the lowest polymorph listed for this composition = 0.00 eV per formula unit

Lattice parameters (Å, degrees): 3.852 3.852 3.852 60.00 60.00 60.00
Sites, in units of the cell vectors:
Be1 0.000 0.000 0.000
Os1 0.750 0.750 0.750
Pd1 0.250 0.250 0.250


3.
The following is a DFT calculation (PBE) of a relaxed structure of LiCuReAs.

## Properties
space group = F-43m
energy relative to the lowest polymorph listed for this composition = 0.00 eV per formula unit

Lattice parameters (Å, degrees): 4.199 4.199 4.199 60.00 60.00 60.00
Sites, in units of the cell vectors:
Li1 0.000 0.000 0.000
Cu1 0.250 0.250 0.250
Re1 0.750 0.750 0.750
As1 0.500 0.500 0.500


4.
The following is a DFT calculation (PBE) of a relaxed structure of Pd.

## Properties
DFT formation energy = 0.121 eV/atom
space group = P-3m1
energy relative to the lowest polymorph listed for this composition = 0.12 eV per formula unit

Lattice parameters (Å, degrees): 2.749 2.749 32.032 90.00 90.00 120.00
Sites, in units of the cell vectors:
Pd1 0.000 0.000 0.000
Pd2 0.000 0.000 0.214
Pd3 0.000 0.000 0.786
Pd4 0.333 0.667 0.143
Pd5 0.333 0.667 0.714
Pd6 0.333 0.667 0.929
Pd7 0.667 0.333 0.071
Pd8 0.667 0.333 0.286
Pd9 0.667 0.333 0.857


5.
The following is a DFT calculation (PBE) of a relaxed structure of YCdInTe3.

## Properties
space group = P2_1/m
energy relative to the lowest polymorph listed for this composition = 0.07 eV per formula unit

Lattice parameters (Å, degrees): 8.694 4.449 11.144 90.00 107.12 90.00
Sites, in units of the cell vectors:
Y1 0.188 0.250 0.141
Y2 0.812 0.750 0.859
Cd1 0.423 0.750 0.389
Cd2 0.577 0.250 0.611
In1 0.242 0.750 0.717
In2 0.758 0.250 0.283
Te1 0.059 0.250 0.854
Te2 0.241 0.250 0.443
Te3 0.439 0.750 0.140
Te4 0.561 0.250 0.860
Te5 0.759 0.750 0.557
Te6 0.941 0.750 0.146


6.
The following is a DFT calculation (PBE) of a relaxed structure of BaLaNd.

## Properties
VASP energy = -3.0766 eV per atom
space group = F-43m

Lattice parameters (Å, degrees): 5.883 5.883 5.883 60.00 60.00 60.00
Sites, in units of the cell vectors:
Ba1 0.000 0.000 0.000
La1 0.250 0.250 0.250
Nd1 0.500 0.500 0.500


7.
The following is a DFT calculation (PBE) of a relaxed structure of GdZnInS3.

## Properties
space group = Pnma
energy relative to the lowest polymorph listed for this composition = 0.16 eV per formula unit

Lattice parameters (Å, degrees): 11.261 4.111 11.838 90.00 90.00 90.00
Sites, in units of the cell vectors:
Gd1 0.021 0.250 0.171
Gd2 0.479 0.750 0.671
Gd3 0.521 0.250 0.329
Gd4 0.979 0.750 0.829
Zn1 0.249 0.750 0.304
Zn2 0.251 0.250 0.804
Zn3 0.749 0.750 0.196
Zn4 0.751 0.250 0.696
In1 0.162 0.250 0.514
In2 0.338 0.750 0.014
In3 0.662 0.250 0.986
In4 0.838 0.750 0.486
S1 0.044 0.750 0.331
S2 0.102 0.250 0.941
S3 0.223 0.750 0.701
S4 0.277 0.250 0.201
S5 0.398 0.750 0.441
S6 0.456 0.250 0.831
S7 0.544 0.750 0.169
S8 0.602 0.250 0.559
S9 0.723 0.750 0.799
S10 0.777 0.250 0.299
S11 0.898 0.750 0.059
S12 0.956 0.250 0.669


8.
The following is a DFT calculation (PBE) of a relaxed structure of LaAgBAu.

## Properties
space group = F-43m
energy relative to the lowest polymorph listed for this composition = 0.00 eV per formula unit

Lattice parameters (Å, degrees): 4.838 4.838 4.838 60.00 60.00 60.00
Sites, in units of the cell vectors:
La1 0.000 0.000 0.000
Ag1 0.500 0.500 0.500
B1 0.250 0.250 0.250
Au1 0.750 0.750 0.750